Computed, not measured: an optimized crystal structure of Ce2WO8 at the GGA+U level of DFT.

Lattice parameters (Å, degrees): 6.079 6.079 6.768 100.23 100.23 37.30
Sites, in units of the cell vectors:
Ce: 0.227 0.227 0.220
Ce: 0.773 0.773 0.780
W: 0.000 0.000 0.500
O: 0.035 0.035 0.233
O: 0.178 0.178 0.570
O: 0.312 0.312 0.943
O: 0.446 0.446 0.370
O: 0.554 0.554 0.630
O: 0.688 0.688 0.057
O: 0.822 0.822 0.430
O: 0.965 0.965 0.767

Output
Electronic total energy (eV per atom): -7.54